[1]
DFT (PBE) results for crystalline LaSc2Ru at its relaxed geometry.

The structure in POSCAR format:
```
LaSc2Ru
1.0
3.4828 0.0000 0.0000
0.0000 5.0635 0.0000
0.0000 0.0000 10.5756
La Sc Ru
2 4 2
Direct
0.0000 0.0000 0.0000
0.5000 0.5000 0.5000
0.0000 0.0000 0.3981
0.0000 0.5000 0.2072
0.5000 0.0000 0.7072
0.5000 0.5000 0.8981
0.0000 0.5000 0.7144
0.5000 0.0000 0.2144
```

Output
- Offset from the most stable computed form: 144.1 meV/atom
- Formation energy from the elements: -0.182 eV/atom
- Size of the total moment: 0.00 μB/f.u.
- Calculated density: 5.9 g cm⁻³
- D(E_F): 6.720 states/eV per cell

=====

[2]
DFT (PBE) results for crystalline Gd2SnRh at its relaxed geometry.

The structure in POSCAR format:
```
Gd2SnRh
1.0
3.4738 0.0000 0.0000
0.0000 3.4738 0.0000
0.0000 0.0000 7.9889
Gd Sn Rh
2 1 1
Direct
0.0000 0.0000 0.2140
0.0000 0.0000 0.7860
0.5000 0.5000 0.5000
0.5000 0.5000 0.0000
```

Output
- Offset from the most stable computed form: 0.0 meV/atom
- Formation energy from the elements: -0.748 eV/atom
- Size of the total moment: 14.11 μB/f.u.
- Calculated density: 9.2 g cm⁻³
- D(E_F): 2.150 states/eV per cell

=====

[3]
DFT (PBE) results for crystalline Fe2TeW at its relaxed geometry.

The structure in POSCAR format:
```
Fe2TeW
1.0
8.2542 0.0000 0.0000
0.0000 3.1057 0.0000
-0.7158 0.0000 4.8704
Fe Te W
4 2 2
Direct
0.2397 0.0000 0.2130
0.2603 0.5000 0.7870
0.7397 0.5000 0.2130
0.7603 0.0000 0.7870
0.0000 0.0000 0.5000
0.5000 0.5000 0.5000
0.0000 0.5000 0.0000
0.5000 0.0000 0.0000
```

Output
- Uncorrected formation energy: 0.57 eV per atom
- Size of the total moment: 3.15 μB/f.u.
- Calculated density: 11.3 g cm⁻³
- D(E_F): 8.682 states/eV per cell

=====

[4]
DFT (PBE) results for crystalline LiBe3Fe at its relaxed geometry.

The structure in POSCAR format:
```
LiBe3Fe
1.0
3.6189 0.0000 0.0000
0.0000 3.6189 0.0000
0.0000 0.0000 3.6189
Li Be Fe
1 3 1
Direct
0.0000 0.0000 0.0000
0.0000 0.0000 0.5000
0.0000 0.5000 0.0000
0.5000 0.0000 0.0000
0.5000 0.5000 0.5000
```

Output
- Offset from the most stable computed form: 393.7 meV/atom
- Formation energy from the elements: 1.001 eV/atom
- Size of the total moment: 0.00 μB/f.u.
- Calculated density: 3.1 g cm⁻³
- D(E_F): 4.548 states/eV per cell

=====

[5]
DFT (PBE) results for crystalline MoI2Br at its relaxed geometry.

The structure in POSCAR format:
```
MoI2Br
1.0
7.5217 0.0000 0.0000
0.0000 7.5217 0.0000
0.0000 0.0000 7.5217
Mo I Br
4 8 4
Direct
0.0000 0.0000 0.0000
0.0000 0.5000 0.5000
0.5000 0.0000 0.5000
0.5000 0.5000 0.0000
0.2500 0.2500 0.2500
0.2500 0.2500 0.7500
0.2500 0.7500 0.2500
0.2500 0.7500 0.7500
0.7500 0.2500 0.2500
0.7500 0.2500 0.7500
0.7500 0.7500 0.2500
0.7500 0.7500 0.7500
0.0000 0.0000 0.5000
0.0000 0.5000 0.0000
0.5000 0.0000 0.0000
0.5000 0.5000 0.5000
```

Output
- Offset from the most stable computed form: 612.1 meV/atom
- Uncorrected formation energy: 0.71 eV per atom
- Size of the total moment: 3.00 μB/f.u.
- Calculated density: 6.7 g cm⁻³
- D(E_F): 15.331 states/eV per cell

=====

[6]
DFT (PBE) results for crystalline LiDy5Al4 at its relaxed geometry.

The structure in POSCAR format:
```
LiDy5Al4
1.0
3.5828 0.0000 0.0000
0.0000 3.5828 0.0000
0.0000 0.0000 18.4780
Li Dy Al
1 5 4
Direct
0.0000 0.0000 0.0000
0.5000 0.5000 0.1092
0.5000 0.5000 0.3045
0.5000 0.5000 0.5000
0.5000 0.5000 0.6955
0.5000 0.5000 0.8908
0.0000 0.0000 0.2036
0.0000 0.0000 0.4022
0.0000 0.0000 0.5978
0.0000 0.0000 0.7964
```

Output
- Formation energy from the elements: -0.313 eV/atom
- Size of the total moment: 0.00 μB/f.u.
- Calculated density: 6.5 g cm⁻³
- D(E_F): 3.278 states/eV per cell

=====

Q: Which of these has the highest calculated density?
A: Fe2TeW

=====

What did the fourth record say?
DFT (PBE) results for crystalline LiBe3Fe at its relaxed geometry.

The structure in POSCAR format:
```
LiBe3Fe
1.0
3.6189 0.0000 0.0000
0.0000 3.6189 0.0000
0.0000 0.0000 3.6189
Li Be Fe
1 3 1
Direct
0.0000 0.0000 0.0000
0.0000 0.0000 0.5000
0.0000 0.5000 0.0000
0.5000 0.0000 0.0000
0.5000 0.5000 0.5000
```

Output
- Offset from the most stable computed form: 393.7 meV/atom
- Formation energy from the elements: 1.001 eV/atom
- Size of the total moment: 0.00 μB/f.u.
- Calculated density: 3.1 g cm⁻³
- D(E_F): 4.548 states/eV per cell

=====

Q: The lowest D(E_F) belongs to which entry?
A: Gd2SnRh